# 1
DFT (PBE) results for an optimized crystal structure of Cu3Tc.

## Properties
crystal system	cubic
calculated density	9.349	g/cm3
energy relative to the elements	393	meV per atom

Lattice parameters (Å, degrees): 3.715 3.715 3.715 90.00 90.00 90.00
Element x y z (fractional)
Cu1 0.000 0.000 0.500
Cu2 0.000 0.500 0.000
Cu3 0.500 0.000 0.000
Tc1 0.500 0.500 0.500

---

# 2
DFT (PBE) results for an optimized crystal structure of BeNi6As.

## Properties
crystal system	tetragonal
calculated density	8.364	g/cm3
energy relative to the elements	-181	meV per atom

Lattice parameters (Å, degrees): 4.961 4.961 3.518 90.00 90.00 90.00
Element x y z (fractional)
Be1 0.000 0.000 0.000
Ni1 0.000 0.500 0.000
Ni2 0.243 0.243 0.500
Ni3 0.243 0.757 0.500
Ni4 0.500 0.000 0.000
Ni5 0.757 0.243 0.500
Ni6 0.757 0.757 0.500
As1 0.500 0.500 0.000

---

# 3
DFT (PBE) results for an optimized crystal structure of Ho4TmTe.

## Properties
crystal system	orthorhombic
calculated density	7.705	g/cm3
energy relative to the elements, uncorrected	-0.1779	eV/atom

Lattice parameters (Å, degrees): 11.030 11.030 6.870 90.00 90.00 150.46
Element x y z (fractional)
Ho1 0.063 0.937 0.500
Ho2 0.207 0.793 0.804
Ho3 0.208 0.792 0.321
Ho4 0.359 0.641 0.587
Ho5 0.641 0.359 0.087
Ho6 0.792 0.208 0.821
Ho7 0.793 0.207 0.304
Ho8 0.937 0.063 0.000
Tm1 0.341 0.659 0.067
Tm2 0.659 0.341 0.567
Te1 0.079 0.921 0.032
Te2 0.921 0.079 0.532

---

# 4
DFT (PBE) results for an optimized crystal structure of RbLa2Tc.

## Properties
crystal system	cubic
relative energy among the computed polymorphs	398	meV/atom
calculated density	6.791	g/cm3
energy relative to the elements	708	meV per atom

Lattice parameters (Å, degrees): 5.423 5.423 5.423 60.00 60.00 60.00
Element x y z (fractional)
Rb1 0.000 0.000 0.000
La1 0.250 0.250 0.250
La2 0.750 0.750 0.750
Tc1 0.500 0.500 0.500